Computed, not measured: Y5Er4Tm2 after structural relaxation at the GGA-PBE level of DFT.

As for the offset from the most stable computed form: 0.000 eV per atom. The calculation puts the formation energy at 0.100 eV per atom. The symmetry is No. 12. The value obtained for the calculated volume is 31.73 Å³/atom.

Lattice parameters (Å, degrees): 5.6137 9.3262 24.4623 162.80 96.59 90.00
Fractional coordinates of all 11 atoms:
Y  0.8387  0.0935  0.6774
Y  0.5000  0.0000  0.0000
Y  0.1613  0.9065  0.3226
Y  0.2055  0.4919  0.4109
Y  0.7945  0.5081  0.5891
Er  0.9485  0.9868  0.8970
Er  0.3149  0.3761  0.6298
Er  0.6851  0.6239  0.3702
Er  0.0515  0.0132  0.1030
Tm  0.4150  0.2338  0.8299
Tm  0.5850  0.7662  0.1701